No. 1
Compound: Mn2ZnW
Source: Alexandria via LeMat-Bulk
Functional: PBE-GGA
Structure: optimized geometry

Geometry as POSCAR:
```
Mn2ZnW
1.0
2.985 0.000 0.000
0.000 2.985 0.000
0.000 0.000 6.150
Mn W Zn
2 1 1
Direct
0.000 0.000 0.010
0.500 0.500 0.249
0.000 0.000 0.475
0.500 0.500 0.765
```

Output
* SG: P4mm, No. 99

=====

No. 2
Compound: Mn3ZnW
Source: Alexandria via LeMat-Bulk
Functional: PBE-GGA
Structure: optimized geometry

Geometry as POSCAR:
```
Mn3ZnW
1.0
-1.077 3.662 1.711
1.045 -1.459 3.779
3.905 1.400 -0.539
Mn W Zn
3 1 1
Direct
0.000 0.500 0.000
0.500 0.000 0.000
0.000 0.000 0.500
0.500 0.500 0.500
0.000 0.000 0.000
```

Output
* SG: Pm-3m, No. 221
* distance to the lowest polymorph of the same formula: 0.3158 eV per atom

=====

No. 3
Compound: Mn2ZnW
Source: Alexandria via LeMat-Bulk
Functional: PBE-GGA
Structure: optimized geometry

Geometry as POSCAR:
```
Mn2ZnW
1.0
2.659 0.026 0.000
-0.673 2.572 0.000
0.000 0.000 8.075
Mn Zn W
2 1 1
Direct
0.000 0.000 0.998
0.000 0.000 0.502
0.500 0.500 0.750
0.500 0.500 0.250
```

Output
* SG: Cmmm, No. 65

=====

No. 4
Compound: MnZn2W
Source: Alexandria via LeMat-Bulk
Functional: PBE-GGA
Structure: optimized geometry

Geometry as POSCAR:
```
MnZn2W
1.0
-1.571 -2.790 -2.899
2.429 -0.950 -0.401
0.416 -3.780 3.413
W Zn Mn
1 2 1
Direct
0.500 0.750 0.750
0.000 0.445 0.492
0.000 0.055 0.008
0.500 0.250 0.250
```

Output
* SG: P2/m, No. 10
* distance to the lowest polymorph of the same formula: 0.0789 eV per atom

=====

No. 5
Compound: MnZn2W
Source: Alexandria via LeMat-Bulk
Functional: PBE-GGA
Structure: optimized geometry

Geometry as POSCAR:
```
MnZn2W
1.0
-1.146 2.429 -0.202
-1.165 -0.350 2.403
6.307 3.269 3.533
Zn W Mn
2 1 1
Direct
0.000 0.000 0.487
0.000 0.000 0.013
0.500 0.500 0.750
0.500 0.500 0.250
```

Output
* SG: P4/mmm, No. 123
* distance to the lowest polymorph of the same formula: 0.0415 eV per atom

=====

No. 6
Compound: MnZn2W
Source: Alexandria via LeMat-Bulk
Functional: PBE-GGA
Structure: optimized geometry

Geometry as POSCAR:
```
MnZn2W
1.0
-1.188 -0.392 4.416
-0.291 -2.772 3.646
4.385 1.056 1.846
W Zn Mn
1 2 1
Direct
0.250 0.250 0.272
0.753 0.753 0.762
0.001 0.001 0.984
0.496 0.496 0.482
```

Output
* SG: Cm, No. 8
* distance to the lowest polymorph of the same formula: 0.0931 eV per atom

=====

No. 7
Compound: Mn2ZnW
Source: Alexandria via LeMat-Bulk
Functional: PBE-GGA
Structure: optimized geometry

Geometry as POSCAR:
```
Mn2ZnW
1.0
-5.216 -0.630 -4.218
-2.696 -4.676 4.032
-5.242 -0.781 1.218
Mn W Zn
4 2 2
Direct
0.375 0.365 0.750
0.635 0.125 0.250
0.115 0.625 0.250
0.875 0.885 0.750
0.750 0.250 0.500
0.000 0.000 0.000
0.250 0.750 0.500
0.500 0.500 0.000
```

Output
* SG: I-42d, No. 122

=====

No. 8
Compound: MnZn2W
Source: Alexandria via LeMat-Bulk
Functional: PBE-GGA
Structure: optimized geometry

Geometry as POSCAR:
```
MnZn2W
1.0
2.688 0.000 0.000
0.000 3.843 0.000
0.000 0.000 5.556
W Zn Mn
1 2 1
Direct
0.500 0.500 0.733
0.000 0.000 0.009
0.500 0.500 0.246
0.000 0.000 0.513
```

Output
* SG: Pmm2, No. 25
* distance to the lowest polymorph of the same formula: 0.0752 eV per atom

=====

No. 9
Compound: MnZn4W
Source: Alexandria via LeMat-Bulk
Functional: PBE-GGA
Structure: optimized geometry

Geometry as POSCAR:
```
MnZn4W
1.0
-4.597 -1.278 -1.238
-3.576 3.393 -0.038
-1.912 1.518 -4.283
Zn Mn W
4 1 1
Direct
0.375 0.375 0.375
0.375 0.375 0.876
0.375 0.876 0.375
0.876 0.375 0.375
0.750 0.750 0.750
0.000 0.000 0.000
```

Output
* SG: F-43m, No. 216

=====

No. 10
Compound: MnZn2W
Source: Alexandria via LeMat-Bulk
Functional: PBE-GGA
Structure: optimized geometry

Geometry as POSCAR:
```
MnZn2W
1.0
9.201 0.012 0.007
8.790 2.719 0.007
8.790 1.334 2.369
W Mn Zn
1 1 2
Direct
0.753 0.753 0.753
0.501 0.501 0.501
0.247 0.247 0.247
0.000 0.000 0.000
```

Output
* SG: R3m, No. 160
* distance to the lowest polymorph of the same formula: 0.0877 eV per atom

=====

No. 11
Compound: MnZn2W
Source: Alexandria via LeMat-Bulk
Functional: PBE-GGA
Structure: optimized geometry

Geometry as POSCAR:
```
MnZn2W
1.0
5.337 0.010 0.034
-2.277 4.446 -0.014
0.782 0.709 2.414
W Zn Mn
1 2 1
Direct
0.500 0.500 0.000
0.500 0.000 0.500
0.000 0.000 0.000
0.000 0.500 0.500
```

Output
* SG: C2/m, No. 12
* distance to the lowest polymorph of the same formula: 0.0890 eV per atom

=====

No. 12
Compound: MnZn2W
Source: Alexandria via LeMat-Bulk
Functional: PBE-GGA
Structure: optimized geometry

Geometry as POSCAR:
```
MnZn2W
1.0
4.884 -0.008 0.000
-1.973 4.467 0.000
0.000 0.000 2.654
Mn Zn W
1 2 1
Direct
0.500 0.000 0.500
0.000 0.000 0.000
0.500 0.500 0.000
0.000 0.500 0.500
```

Output
* SG: Cmmm, No. 65
* distance to the lowest polymorph of the same formula: 0.0852 eV per atom

=====

No. 13
Compound: ZrMnW
Source: Alexandria via LeMat-Bulk
Functional: PBE-GGA
Structure: optimized geometry

Geometry as POSCAR:
```
ZrMnW
1.0
6.811 -0.013 0.009
6.019 2.726 0.026
0.791 -0.779 2.626
Zr W Mn
1 1 1
Direct
0.658 0.658 0.342
0.349 0.349 0.651
0.993 0.993 0.007
```

Output
* SG: Fmm2, No. 42
* distance to the lowest polymorph of the same formula: 0.3549 eV per atom

=====

No. 14
Compound: ZrMnW
Source: Alexandria via LeMat-Bulk
Functional: PBE-GGA
Structure: optimized geometry

Geometry as POSCAR:
```
ZrMnW
1.0
-0.368 0.069 4.364
2.127 -3.286 -1.967
2.503 1.508 0.187
Zr Mn W
1 1 1
Direct
0.333 0.667 0.681
0.000 0.000 0.019
0.667 0.333 0.300
```

Output
* SG: P3m1, No. 156
* distance to the lowest polymorph of the same formula: 0.3825 eV per atom

=====

No. 15
Compound: ZrMn2W
Source: Alexandria via LeMat-Bulk
Functional: PBE-GGA
Structure: optimized geometry

Geometry as POSCAR:
```
ZrMn2W
1.0
2.772 0.058 0.000
-0.055 2.772 0.000
0.000 0.000 7.747
Zr Mn W
1 2 1
Direct
0.500 0.500 0.777
0.500 0.500 0.209
0.000 0.000 0.053
0.000 0.000 0.462
```

Output
* SG: P4mm, No. 99

=====

No. 16
Compound: ZrMn2W
Source: Alexandria via LeMat-Bulk
Functional: PBE-GGA
Structure: optimized geometry

Geometry as POSCAR:
```
ZrMn2W
1.0
-0.279 3.591 -2.471
-3.398 1.372 2.377
1.918 1.457 1.901
Mn W Zr
2 1 1
Direct
0.500 0.500 0.000
0.000 0.000 0.000
0.500 0.000 0.500
0.000 0.500 0.500
```

Output
* SG: P4/mmm, No. 123

=====

No. 17
Compound: ZrMn2W
Source: Alexandria via LeMat-Bulk
Functional: PBE-GGA
Structure: optimized geometry

Geometry as POSCAR:
```
ZrMn2W
1.0
-2.016 2.289 1.135
-3.200 -1.364 -2.930
-1.467 -2.713 2.865
Mn W Zr
2 1 1
Direct
0.000 0.000 0.000
0.500 0.500 0.000
0.500 0.000 0.500
0.000 0.500 0.500
```

Output
* SG: Pmmm, No. 47

=====

No. 18
Compound: ZrMn2W
Source: Alexandria via LeMat-Bulk
Functional: PBE-GGA
Structure: optimized geometry

Geometry as POSCAR:
```
ZrMn2W
1.0
6.942 0.000 0.000
0.000 6.942 0.000
3.471 3.471 2.754
W Mn Zr
2 4 2
Direct
0.000 0.000 0.000
0.750 0.250 0.500
0.096 0.625 0.250
0.875 0.904 0.750
0.654 0.125 0.250
0.375 0.346 0.750
0.250 0.750 0.500
0.500 0.500 0.000
```

Output
* SG: I-42d, No. 122

=====

No. 19
Compound: ZrMn2W
Source: Alexandria via LeMat-Bulk
Functional: PBE-GGA
Structure: optimized geometry

Geometry as POSCAR:
```
ZrMn2W
1.0
-1.684 0.745 -8.962
-0.240 -1.741 -8.978
-3.065 -1.724 -8.446
Mn Zr W
2 1 1
Direct
0.255 0.255 0.255
0.990 0.990 0.990
0.746 0.746 0.746
0.509 0.509 0.509
```

Output
* SG: R3m, No. 160

=====

No. 20
Compound: ZrMn2W
Source: Alexandria via LeMat-Bulk
Functional: PBE-GGA
Structure: optimized geometry

Geometry as POSCAR:
```
ZrMn2W
1.0
3.065 0.000 0.000
0.000 3.065 0.000
0.000 0.000 6.274
W Mn Zr
1 2 1
Direct
0.500 0.500 0.250
0.000 0.000 0.479
0.000 0.000 0.021
0.500 0.500 0.750
```

Output
* SG: P4/mmm, No. 123

=====

No. 21
Compound: ZrMnW
Source: Alexandria via LeMat-Bulk
Functional: PBE-GGA
Structure: optimized geometry

Geometry as POSCAR:
```
ZrMnW
1.0
-2.787 -0.850 0.879
0.715 0.046 -2.958
1.962 -6.039 0.380
Mn Zr W
1 1 1
Direct
0.000 0.000 0.024
0.333 0.667 0.678
0.667 0.333 0.298
```

Output
* SG: P3m1, No. 156
* distance to the lowest polymorph of the same formula: 0.5215 eV per atom

=====

No. 22
Compound: ZrMn2W
Source: Alexandria via LeMat-Bulk
Functional: PBE-GGA
Structure: optimized geometry

Geometry as POSCAR:
```
ZrMn2W
1.0
4.032 0.000 0.000
0.000 2.816 0.035
0.000 1.018 5.395
W Mn Zr
1 2 1
Direct
0.500 0.250 0.250
0.000 0.003 0.039
0.000 0.497 0.461
0.500 0.750 0.750
```

Output
* SG: P2/m, No. 10

=====

No. 23
Compound: ZrMn2W
Source: Alexandria via LeMat-Bulk
Functional: PBE-GGA
Structure: optimized geometry

Geometry as POSCAR:
```
ZrMn2W
1.0
5.243 -0.001 0.015
2.511 4.603 -0.015
-3.425 -3.064 2.525
Mn W Zr
2 1 1
Direct
0.013 0.013 0.000
0.256 0.756 0.500
0.481 0.481 0.000
0.750 0.250 0.500
```

Output
* SG: Imm2, No. 44

=====

No. 24
Compound: ZrMn2W2
Source: Alexandria via LeMat-Bulk
Functional: PBE-GGA
Structure: optimized geometry

Geometry as POSCAR:
```
ZrMn2W2
1.0
4.005 0.000 0.000
0.000 4.005 0.000
2.002 2.002 5.268
Mn W Zr
2 2 1
Direct
0.250 0.750 0.500
0.750 0.250 0.500
0.375 0.375 0.251
0.625 0.625 0.749
0.000 0.000 0.000
```

Output
* SG: I4/mmm, No. 139
* distance to the lowest polymorph of the same formula: 0.1589 eV per atom

=====

No. 25
Compound: ZrMn2W
Source: Alexandria via LeMat-Bulk
Functional: PBE-GGA
Structure: optimized geometry

Geometry as POSCAR:
```
ZrMn2W
1.0
-3.001 -7.592 -0.712
-2.313 -7.550 2.189
-4.917 -6.434 1.257
Mn W Zr
2 1 1
Direct
0.993 0.993 0.993
0.507 0.507 0.507
0.250 0.250 0.250
0.750 0.750 0.750
```

Output
* SG: R-3m, No. 166

=====

No. 26
Compound: ZrMn3W
Source: Alexandria via LeMat-Bulk
Functional: PBE-GGA
Structure: optimized geometry

Geometry as POSCAR:
```
ZrMn3W
1.0
4.546 0.000 0.000
0.000 4.546 0.000
0.000 0.000 4.546
Mn W Zr
3 1 1
Direct
0.000 0.000 0.500
0.000 0.500 0.000
0.500 0.000 0.000
0.000 0.000 0.000
0.500 0.500 0.500
```

Output
* SG: Pm-3m, No. 221
* distance to the lowest polymorph of the same formula: 0.0000 eV per atom

=====

No. 27
Compound: ZrMn2W2
Source: Alexandria via LeMat-Bulk
Functional: PBE-GGA
Structure: optimized geometry

Geometry as POSCAR:
```
ZrMn2W2
1.0
-5.900 2.403 3.646
-3.566 -6.188 -1.692
0.980 -1.218 2.389
Mn Zr W
4 2 4
Direct
0.140 0.360 0.000
0.640 0.140 0.000
0.360 0.860 0.000
0.860 0.640 0.000
0.500 0.500 0.000
0.000 0.000 0.000
0.349 0.151 0.500
0.651 0.849 0.500
0.849 0.349 0.500
0.151 0.651 0.500
```

Output
* SG: P4/mbm, No. 127
* distance to the lowest polymorph of the same formula: 0.0000 eV per atom

=====

No. 28
Compound: ZrMnW3
Source: Alexandria via LeMat-Bulk
Functional: PBE-GGA
Structure: optimized geometry

Geometry as POSCAR:
```
ZrMnW3
1.0
-0.007 -3.626 2.704
3.926 -1.348 -1.797
2.246 2.345 3.149
W Zr Mn
3 1 1
Direct
0.500 0.000 0.000
0.000 0.500 0.000
0.000 0.000 0.500
0.500 0.500 0.500
0.000 0.000 0.000
```

Output
* SG: Pm-3m, No. 221

=====

No. 29
Compound: ZrMnW
Source: Alexandria via LeMat-Bulk
Functional: PBE-GGA
Structure: optimized geometry

Geometry as POSCAR:
```
ZrMnW
1.0
-0.539 4.874 -1.689
-2.890 -3.739 -2.138
-4.394 2.540 1.071
W Zr Mn
2 2 2
Direct
0.000 0.500 0.000
0.500 0.000 0.000
0.750 0.872 0.378
0.250 0.128 0.622
0.000 0.500 0.500
0.500 0.500 0.000
```

Output
* SG: Imma, No. 74
* distance to the lowest polymorph of the same formula: 0.0000 eV per atom

=====

No. 30
Compound: ZrMn2W
Source: Alexandria via LeMat-Bulk
Functional: PBE-GGA
Structure: optimized geometry

Geometry as POSCAR:
```
ZrMn2W
1.0
2.790 0.042 0.000
-0.966 2.618 0.000
0.000 0.000 8.227
W Mn Zr
1 2 1
Direct
0.500 0.500 0.250
0.000 0.000 0.484
0.000 0.000 0.016
0.500 0.500 0.750
```

Output
* SG: Cmmm, No. 65

=====

no.,calculated formation energy (eV/f.u.),DOS at the Fermi energy (states/eV per cell)
1,0.893,4.12
2,8.609,10.02
3,0.684,3.76
4,0.903,2.30
5,0.753,2.30
6,0.960,3.26
7,2.914,6.46
8,0.888,2.56
9,1.511,5.96
10,0.938,2.58
11,0.943,2.60
12,0.928,2.69
13,0.660,3.47
14,0.743,2.56
15,0.715,4.63
16,0.035,1.35
17,1.003,3.64
18,2.405,9.09
19,1.613,4.63
20,-0.104,1.50
21,1.160,3.36
22,0.816,5.09
23,0.647,4.15
24,2.041,7.79
25,1.609,4.17
26,5.373,6.86
27,1.247,16.19
28,4.944,7.41
29,-0.405,4.22
30,0.976,4.38